# 1
BaLaTe2: relaxed, PBE.

Lattice parameters (Å, degrees): 4.7690 4.7690 6.7442 90.00 90.00 90.00
Element x y z (fractional)
Ba  0.0000  0.0000  0.0000
La  0.5000  0.5000  0.5000
Te  0.0000  0.0000  0.5000
Te  0.5000  0.5000  0.0000

Properties
energy relative to the elements, uncorrected: -622 kJ/mol of formula units
final energy: -19.6 eV/cell


# 2
BaLa4Te6: relaxed, PBE.

Lattice parameters (Å, degrees): 7.9014 7.9014 23.6625 90.00 90.00 145.97
Element x y z (fractional)
Ba  0.1615  0.8385  0.7500
Ba  0.8385  0.1615  0.2500
La  0.0918  0.9082  0.1270
La  0.0918  0.9082  0.3730
La  0.3614  0.6386  0.0391
La  0.3614  0.6386  0.4609
La  0.6386  0.3614  0.5391
La  0.6386  0.3614  0.9609
La  0.9082  0.0918  0.6270
La  0.9082  0.0918  0.8730
Te  0.0000  0.0000  0.0000
Te  0.0000  0.0000  0.5000
Te  0.1692  0.8308  0.2500
Te  0.2686  0.7314  0.5881
Te  0.2686  0.7314  0.9119
Te  0.4544  0.5456  0.1615
Te  0.4544  0.5456  0.3385
Te  0.5456  0.4544  0.6615
Te  0.5456  0.4544  0.8385
Te  0.7314  0.2686  0.0881
Te  0.7314  0.2686  0.4119
Te  0.8308  0.1692  0.7500

Properties
energy relative to the elements, uncorrected: -1718 kJ/mol of formula units
final energy: -116.6 eV/cell


# 3
BaLa2Te: relaxed, PBE.

Lattice parameters (Å, degrees): 4.2635 5.3318 6.8381 90.00 103.42 90.00
Element x y z (fractional)
Ba  0.0000  0.0000  0.0000
La  0.3790  0.0000  0.5483
La  0.7379  0.5000  0.4190
Te  0.4313  0.5000  0.8356

Properties
energy relative to the elements, uncorrected: -231 kJ/mol of formula units
final energy: -17.3 eV/cell


# 4
BaLaTe2: relaxed, PBE.

Lattice parameters (Å, degrees): 10.5335 10.5335 10.5335 26.06 26.06 26.06
Element x y z (fractional)
Ba  0.0000  0.0000  0.0000
La  0.5000  0.5000  0.5000
Te  0.1101  0.1101  0.1101
Te  0.8899  0.8899  0.8899

Properties
energy relative to the elements, uncorrected: -486 kJ/mol of formula units
final energy: -18.2 eV/cell


# 5
BaLa2Te: relaxed, PBE.

Lattice parameters (Å, degrees): 4.2041 4.2041 9.0159 90.00 90.00 90.00
Element x y z (fractional)
Ba  0.0000  0.0000  0.0000
La  0.0000  0.0000  0.5725
La  0.5000  0.5000  0.3305
Te  0.5000  0.5000  0.7265

Properties
energy relative to the elements, uncorrected: -247 kJ/mol of formula units
final energy: -17.5 eV/cell


# 6
BaLaTe3: relaxed, PBE.

Lattice parameters (Å, degrees): 6.1251 6.1251 6.1251 90.00 90.00 90.00
Element x y z (fractional)
Ba  0.0000  0.0000  0.0000
La  0.5000  0.5000  0.5000
Te  0.0000  0.5000  0.5000
Te  0.5000  0.0000  0.5000
Te  0.5000  0.5000  0.0000

Properties
energy relative to the elements, uncorrected: -549 kJ/mol of formula units
final energy: -22.0 eV/cell


# 7
BaLaTe2: relaxed, PBE.

Lattice parameters (Å, degrees): 8.7381 8.7381 8.7381 30.77 30.77 30.77
Element x y z (fractional)
Ba  0.0000  0.0000  0.0000
La  0.1728  0.1728  0.1728
Te  0.5797  0.5797  0.5797
Te  0.7618  0.7618  0.7618

Properties
energy relative to the elements, uncorrected: -619 kJ/mol of formula units
final energy: -19.5 eV/cell


# 8
BaLa2Te: relaxed, PBE.

Lattice parameters (Å, degrees): 4.0763 4.0763 9.4426 90.00 90.00 90.00
Element x y z (fractional)
Ba  0.0000  0.0000  0.0000
La  0.5000  0.5000  0.3152
La  0.5000  0.5000  0.6848
Te  0.0000  0.0000  0.5000

Properties
energy relative to the elements, uncorrected: -214 kJ/mol of formula units
final energy: -17.1 eV/cell